(1)
10
Lattice="6.9840 0.0000 0.0000 0.0000 6.9840 0.0000 0.0000 0.0000 3.4604" Properties=species:S:1:pos:R:3 comment="meta-GGA SCAN Zr2Cu2Ag, PBEsol geometry" formation_energy_mev_per_atom=-187 m_tot_mub_per_atom=0.00 sg="P4/mbm (127)" pbc="T T T"
Zr 1.1882 2.3038 0.0000
Zr 2.3038 5.7958 0.0000
Zr 4.6802 1.1882 0.0000
Zr 5.7958 4.6802 0.0000
Cu 0.8776 4.3696 1.7302
Cu 2.6144 0.8776 1.7302
Cu 4.3696 6.1064 1.7302
Cu 6.1064 2.6144 1.7302
Ag 0.0000 0.0000 1.7302
Ag 3.4920 3.4920 1.7302

(2)
3
Lattice="0.0000 3.0780 3.0780 3.0780 0.0000 3.0780 3.0780 3.0780 0.0000" Properties=species:S:1:pos:R:3 comment="meta-GGA SCAN ZrCuAg, PBEsol geometry" formation_energy_mev_per_atom=363 e_above_lowest_polymorph_mev_per_atom=469 m_tot_mub_per_atom=0.00 sg="F-43m (216)" pbc="T T T"
Zr 0.0000 0.0000 0.0000
Cu 3.0780 3.0780 3.0780
Ag 4.6170 4.6170 4.6170

(3)
4
Lattice="1.4449 0.8342 9.2210 -1.4449 0.8342 9.2210 0.0000 -1.6684 9.2210" Properties=species:S:1:pos:R:3 comment="meta-GGA SCAN ZrCuAg2, PBEsol geometry" formation_energy_mev_per_atom=124 e_above_lowest_polymorph_mev_per_atom=153 m_tot_mub_per_atom=0.00 sg="R-3m (166)" pbc="T T T"
Zr 0.0000 0.0000 0.0000
Cu 0.0000 0.0000 13.8315
Ag 0.0000 0.0000 6.6917
Ag 0.0000 0.0000 20.9713

(4)
4
Lattice="5.3120 -1.4949 0.0000 5.3120 1.4949 0.0000 -2.0434 0.0000 4.5298" Properties=species:S:1:pos:R:3 comment="meta-GGA SCAN Zr2CuAg, PBEsol geometry" formation_energy_mev_per_atom=-22 e_above_lowest_polymorph_mev_per_atom=116 m_tot_mub_per_atom=0.00 sg="Cm (8)" pbc="T T T"
Zr 0.0000 0.0000 0.0000
Zr 1.0865 0.0000 2.9277
Cu 7.6055 0.0000 0.6511
Ag 3.9164 0.0000 2.0858

(5)
4
Lattice="3.3445 0.0000 0.0000 0.0000 3.3445 0.0000 0.0000 0.0000 6.4802" Properties=species:S:1:pos:R:3 comment="meta-GGA SCAN Zr2CuAg, PBEsol geometry" formation_energy_mev_per_atom=-138 e_above_lowest_polymorph_mev_per_atom=0 m_tot_mub_per_atom=0.00 sg="P4mm (99)" pbc="T T T"
Zr 0.0000 0.0000 0.0000
Zr 1.6723 1.6723 1.9566
Cu 1.6723 1.6723 4.9964
Ag 0.0000 0.0000 3.6239

(6)
6
Lattice="0.0000 3.4433 3.4433 3.4433 0.0000 3.4433 3.4433 3.4433 0.0000" Properties=species:S:1:pos:R:3 comment="meta-GGA SCAN ZrCu4Ag, PBEsol geometry" formation_energy_mev_per_atom=-187 m_tot_mub_per_atom=0.00 sg="F-43m (216)" pbc="T T T"
Zr 0.0000 0.0000 0.0000
Cu 4.3006 2.5860 2.5860
Cu 2.5860 4.3006 2.5860
Cu 2.5860 2.5860 4.3006
Cu 4.3006 4.3006 4.3006
Ag 1.7217 1.7217 1.7217